Record 1
Below is an optimized crystal structure of Ba3Zn2Pb2, with properties calculated at the PBE-GGA level.

abc: 6.8791 6.8791 8.4196
angles: 109.76 109.76 43.79
Closest atoms and distances in Å follow each position.
Positions (direct):
Ba: 0.0000 0.0000 0.0000  6 Zn 3.67-3.79, 4 Pb 3.69
Ba: 0.1744 0.1744 0.6391  3 Zn 3.34-3.52, 5 Pb 3.66-3.72
Ba: 0.8256 0.8256 0.3609  3 Zn 3.34-3.52, 5 Pb 3.66-3.72
Zn: 0.3000 0.3000 0.0634  2 Zn 2.89, 1 Pb 2.94
Zn: 0.7000 0.7000 0.9366  2 Zn 2.89, 1 Pb 2.94
Pb: 0.4726 0.4726 0.6728  1 Zn 2.94, 1 Pb 3.23
Pb: 0.5274 0.5274 0.3272  1 Zn 2.94, 1 Pb 3.23

Output
Calculated formation energy = -0.387 eV/atom
Total DFT energy (no corrections) = -2.63 eV/atom
Size of the total moment = 0.00 μB per atom


Record 2
Below is an optimized crystal structure of Pr6AlRh2, with properties calculated at the PBE-GGA level.

abc: 8.7852 8.7852 8.7852
angles: 113.19 110.87 104.48
Closest atoms and distances in Å follow each position.
Positions (direct):
Pr: 0.0427 0.2372 0.8055  1 Rh 2.86
Pr: 0.1778 0.2889 0.4667  3 Rh 3.06-3.15, 1 Al 3.31
Pr: 0.1778 0.7111 0.8890  3 Rh 3.06-3.15, 1 Al 3.31
Pr: 0.3308 0.0231 0.6924  3 Rh 2.82-3.14
Pr: 0.3308 0.6384 0.3076  3 Rh 2.82-3.14
Pr: 0.4317 0.2372 0.1945  1 Rh 2.86
Pr: 0.5683 0.7628 0.8055  1 Rh 2.86
Pr: 0.6692 0.3616 0.6924  3 Rh 2.82-3.14
Pr: 0.6692 0.9769 0.3076  3 Rh 2.82-3.14
Pr: 0.8222 0.2889 0.1110  3 Rh 3.06-3.15, 1 Al 3.31
Pr: 0.8222 0.7111 0.5333  3 Rh 3.06-3.15, 1 Al 3.31
Pr: 0.9573 0.7628 0.1945  1 Rh 2.86
Al: 0.0000 0.0000 0.0000  8 Pr 3.20-3.31, 2 Rh 3.22
Al: 0.5000 0.5000 0.0000  12 Pr 3.43-3.81
Rh: 0.1337 0.6337 0.5000  6 Pr 2.82-3.06, 1 Rh 2.88
Rh: 0.3230 0.0000 0.3230  8 Pr 2.86-3.15
Rh: 0.6770 0.0000 0.6770  8 Pr 2.86-3.15
Rh: 0.8663 0.3663 0.5000  6 Pr 2.82-3.06, 1 Rh 2.88

Output
Calculated formation energy = -0.420 eV/atom
Total DFT energy (no corrections) = -5.66 eV/atom
Size of the total moment = 0.00 μB per atom


Record 3
Below is an optimized crystal structure of BaZrPt, with properties calculated at the PBE-GGA level.

abc: 4.1770 4.1770 6.5707
angles: 90.00 90.00 120.00
Closest atoms and distances in Å follow each position.
Positions (direct):
Ba: 0.0000 0.0000 0.0000  3 Pt 3.29
Zr: 0.3333 0.6667 0.5000  3 Pt 2.63
Pt: 0.6667 0.3333 0.3404  3 Zr 2.63

Output
Calculated formation energy = -0.289 eV/atom
Total DFT energy (no corrections) = -5.79 eV/atom
Size of the total moment = 0.06 μB per atom


Record 4
Below is an optimized crystal structure of ScMnIn2, with properties calculated at the PBE-GGA level.

abc: 4.8960 4.8960 4.8960
angles: 60.00 60.00 60.00
Closest atoms and distances in Å follow each position.
Positions (direct):
Sc: 0.0000 0.0000 0.0000  4 Mn 3.00, 4 In 3.00
Mn: 0.7500 0.7500 0.7500  4 Sc 3.00, 4 In 3.00
In: 0.2500 0.2500 0.2500  4 In 3.00, 4 Sc 3.00
In: 0.5000 0.5000 0.5000  4 In 3.00, 4 Mn 3.00

Output
Calculated formation energy = 0.116 eV/atom
Total DFT energy (no corrections) = -5.13 eV/atom
Size of the total moment = 0.85 μB per atom


Record 5
Below is an optimized crystal structure of CsZrSbSe4, with properties calculated at the PBE-GGA level.

abc: 7.1420 7.7639 9.5670
angles: 90.00 100.43 90.00
Closest atoms and distances in Å follow each position.
Positions (direct):
Cs: 0.1865 0.2500 0.0875  4 Se 3.53-3.86
Cs: 0.8135 0.7500 0.9125  4 Se 3.53-3.86
Zr: 0.3618 0.2500 0.6748  4 Se 2.46-2.61
Zr: 0.6382 0.7500 0.3252  4 Se 2.46-2.61
Sb: 0.1423 0.7500 0.3888  3 Se 2.70-2.74
Sb: 0.8577 0.2500 0.6112  3 Se 2.70-2.74
Se: 0.1278 0.0045 0.7026  1 Zr 2.58, 1 Sb 2.74
Se: 0.1278 0.4955 0.7026  1 Zr 2.58, 1 Sb 2.74
Se: 0.3075 0.7500 0.1562  1 Zr 2.61, 1 Sb 2.70
Se: 0.4489 0.2500 0.4372  1 Zr 2.46
Se: 0.5511 0.7500 0.5628  1 Zr 2.46
Se: 0.6925 0.2500 0.8438  1 Zr 2.61, 1 Sb 2.70
Se: 0.8722 0.5045 0.2974  1 Zr 2.58, 1 Sb 2.74
Se: 0.8722 0.9955 0.2974  1 Zr 2.58, 1 Sb 2.74

Output
Total DFT energy (no corrections) = -4.80 eV/atom
Size of the total moment = 0.00 μB per atom


Record 6
Below is an optimized crystal structure of LiVCu3, with properties calculated at the PBE-GGA level.

abc: 4.0708 4.0708 4.0708
angles: 90.00 90.00 90.00
Closest atoms and distances in Å follow each position.
Positions (direct):
Li: 0.0000 0.0000 0.0000  6 Cu 2.04
V: 0.5000 0.5000 0.5000  12 Cu 2.88
Cu: 0.0000 0.0000 0.5000  2 Li 2.04
Cu: 0.0000 0.5000 0.0000  2 Li 2.04
Cu: 0.5000 0.0000 0.0000  2 Li 2.04

Output
Calculated formation energy = 0.681 eV/atom
Total DFT energy (no corrections) = -3.98 eV/atom
Size of the total moment = 0.55 μB per atom


| no. | V (Å³/f.u.) |
| --- | --- |
| 1 | 257 |
| 2 | 259 |
| 3 | 99 |
| 4 | 83 |
| 5 | 261 |
| 6 | 67 |